## ZrZn3Sb (PBE)

Data for a relaxed ZrZn3Sb crystal.

## Properties
- E above lowest polymorph (meV per atom) = 0
- space-group type = Pm-3m, No. 221
- DFT total energy (eV/atom) = -2.415
- formation energy (no corrections) (eV per atom) = 0.883

a b c (Å): 5.003 5.003 5.003
angles (deg): 90.00 90.00 90.00
Sites, in units of the cell vectors:
1 Zr 0.000 0.000 0.000
2 Zn 0.000 0.500 0.500
3 Zn 0.500 0.000 0.500
4 Zn 0.500 0.500 0.000
5 Sb 0.500 0.500 0.500